The following is a DFT calculation (GGA-PBE) of KPuTe after structural relaxation.

Lattice parameters (Å, degrees): 5.4504 5.4504 5.4504 60.00 60.00 60.00
With the nearest neighbours (Å) after each atom.
Positions (direct):
K (0.0000, 0.0000, 0.0000)  4 Te 3.34
Pu (0.5000, 0.5000, 0.5000)  4 Te 3.34
Te (0.2500, 0.2500, 0.2500)  4 Pu 3.34, 4 K 3.34

## Properties
magnetic moment: 6.95 μB/f.u.
symmetry: F-43m, No. 216
energy: -19.42 eV per cell